## Co2CuHRh (PBE)

Data for Co2CuHRh after structural relaxation.

Values from the calculation:
Total moment in Bohr magnetons per cell: 4.061
Energy above the most stable polymorph in this dataset in meV/atom: 68.4

a b c (Å): 3.6665 3.6665 3.7821
angles (deg): 90.00 90.00 90.00
Space group P4/mmm (No. 123)
One atom of each set of equivalent atoms:
Co 0.0000 0.5000 0.0000 [2 per cell]
Cu 0.0000 0.0000 0.5000 [1 per cell]
H 0.0000 0.0000 0.0000 [1 per cell]
Rh 0.5000 0.5000 0.5000 [1 per cell]



## NdDyTh2 (PBE)

Data for NdDyTh2 after structural relaxation.

Values from the calculation:
Total moment in Bohr magnetons per cell: 0.000
Energy above the most stable polymorph in this dataset in meV/atom: 0.0

a b c (Å): 5.0594 5.0913 10.1992
angles (deg): 90.00 90.13 90.00
Space group P2_1/m (No. 11)
One atom of each set of equivalent atoms:
Nd 0.0010 0.2500 0.3674 [2 per cell]
Dy 0.4992 0.2500 0.6328 [2 per cell]
Th 0.9996 0.2500 0.8787 [2 per cell]
Th 0.4999 0.2500 0.1193 [2 per cell]



## PrTmNi2 (PBE)

Data for PrTmNi2 after structural relaxation.

Values from the calculation:
Total moment in Bohr magnetons per cell: 0.000
Energy above the most stable polymorph in this dataset in meV/atom: 82.1

a b c (Å): 6.8563 6.8563 6.8563
angles (deg): 90.00 90.00 90.00
Space group Fm-3m (No. 225)
One atom of each set of equivalent atoms:
Pr 0.0000 0.0000 0.0000 [4 per cell]
Tm 0.0000 0.0000 0.5000 [4 per cell]
Ni 0.2500 0.2500 0.2500 [8 per cell]



## Ho6TcO12 (PBE)

Data for Ho6TcO12 after structural relaxation.

Values from the calculation:
Total moment in Bohr magnetons per cell: 3.018
ΔE_f (raw) in eV/atom: -3.14

a b c (Å): 9.7691 9.7691 9.3361
angles (deg): 90.00 90.00 120.00
Space group R-3 (No. 148, hexagonal axes)
One atom of each set of equivalent atoms:
Ho 0.0416 0.7870 0.1432 [18 per cell]
Tc 0.0000 0.0000 0.5000 [3 per cell]
O 0.0325 0.8098 0.9002 [18 per cell]
O 0.0367 0.8518 0.3876 [18 per cell]



## CaDy7Er2 (PBE)

Data for CaDy7Er2 after structural relaxation.

Values from the calculation:
Total moment in Bohr magnetons per cell: 0.000
Raw total energy in eV/atom: -4.281

a b c (Å): 6.1583 7.1213 7.9582
angles (deg): 102.86 97.45 106.67
Space group P-1 (No. 2)
One atom of each set of equivalent atoms:
Ca 0.0000 0.0000 0.0000 [1 per cell]
Dy 0.0000 0.5000 0.0000 [1 per cell]
Dy 0.2024 0.8993 0.4082 [2 per cell]
Dy 0.2029 0.4070 0.4083 [2 per cell]
Dy 0.4134 0.3061 0.7988 [2 per cell]
Er 0.3989 0.7956 0.7954 [2 per cell]



## Cs2NpSe2O2 (PBE)

Data for Cs2NpSe2O2 after structural relaxation.

Values from the calculation:
Total moment in Bohr magnetons per cell: 2.000
ΔE_f (raw) in eV/atom: -1.88

a b c (Å): 13.9792 4.3200 8.1744
angles (deg): 90.00 119.63 90.00
Space group C2/m (No. 12)
One atom of each set of equivalent atoms:
Cs 0.1808 0.0000 0.2015 [4 per cell]
Np 0.0000 0.0000 0.5000 [2 per cell]
Se 0.0401 0.5000 0.7566 [4 per cell]
O 0.1458 0.0000 0.5635 [4 per cell]



## FeAs3Ir (PBE)

Data for FeAs3Ir after structural relaxation.

Values from the calculation:
Total moment in Bohr magnetons per cell: 0.051
Energy above the most stable polymorph in this dataset in meV/atom: 0.0

a b c (Å): 4.4590 4.4590 4.4590
angles (deg): 90.00 90.00 90.00
Space group Pm-3m (No. 221)
One atom of each set of equivalent atoms:
Fe 0.0000 0.0000 0.0000 [1 per cell]
As 0.0000 0.0000 0.5000 [3 per cell]
Ir 0.5000 0.5000 0.5000 [1 per cell]



## TeHWI2 (PBE)

Data for TeHWI2 after structural relaxation.

Values from the calculation:
Total moment in Bohr magnetons per cell: 0.000
Energy above the most stable polymorph in this dataset in meV/atom: 567.9

a b c (Å): 5.3250 5.3250 3.7603
angles (deg): 90.00 90.00 90.00
Space group P4/mmm (No. 123)
One atom of each set of equivalent atoms:
Te 0.0000 0.0000 0.0000 [1 per cell]
H 0.0000 0.0000 0.5000 [1 per cell]
W 0.5000 0.5000 0.0000 [1 per cell]
I 0.0000 0.5000 0.5000 [2 per cell]